A:
YTiSe2N: relaxed, PBE.

The structure in POSCAR format:
```
YTiSe2N
1.0
-4.1861 -1.9644 2.1027
0.6737 -4.2778 -2.6553
2.0981 -1.4319 2.8392
Ti Se N Y
1 2 1 1
direct
0.0000 0.0000 0.0000 Ti
0.0000 0.5000 0.0000 Se
0.5000 0.0000 0.0000 Se
0.0000 0.0000 0.5000 N
0.5000 0.5000 0.5000 Y
```

Calculated values
D(E_F)   1.0 states/eV/cell

B:
YTiSe2N: relaxed, PBE.

The structure in POSCAR format:
```
YTiSe2N
1.0
-0.3973 -4.3855 3.1781
4.8321 1.1522 2.1940
-1.8208 2.2244 2.8419
Se Y N Ti
2 1 1 1
direct
0.0000 0.5000 0.0000 Se
0.5000 0.0000 0.0000 Se
0.0000 0.0000 0.0000 Y
0.0000 0.0000 0.5000 N
0.5000 0.5000 0.5000 Ti
```

Calculated values
D(E_F)   6.2 states/eV/cell

Relative energies with respect to the most stable structure, expressed in meV/atom: A 0; B 1212.

A:
TiZnSeN2: relaxed, PBE.

The structure in POSCAR format:
```
TiZnSeN2
1.0
-1.0274 1.7119 -3.2613
-3.3369 1.0009 1.5766
2.2910 4.8032 1.7996
N Se Zn Ti
2 1 1 1
direct
0.5000 0.0000 0.0000 N
0.0000 0.5000 0.0000 N
0.0000 0.0000 0.5000 Se
0.5000 0.5000 0.5000 Zn
0.0000 0.0000 0.0000 Ti
```

Calculated values
D(E_F)   2.5 states/eV/cell

B:
TiZnSeN2: relaxed, PBE.

The structure in POSCAR format:
```
TiZnSeN2
1.0
-2.7703 1.0603 -2.3709
-2.4896 -0.0969 2.8657
0.9919 4.8880 1.0269
Ti Zn N Se
1 1 2 1
direct
0.5000 0.5000 0.5000 Ti
0.0000 0.0000 0.0000 Zn
0.0000 0.5000 0.0000 N
0.5000 0.0000 0.0000 N
0.0000 0.0000 0.5000 Se
```

Calculated values
D(E_F)   3.8 states/eV/cell

Relative energies with respect to the most stable structure, expressed in meV/atom: A 0; B 902.

A:
ZrTiSeN2: relaxed, PBE.

The structure in POSCAR format:
```
ZrTiSeN2
1.0
4.1029 0.0000 0.0000
0.0000 4.1029 0.0000
0.0000 0.0000 5.3890
N Zr Ti Se
2 1 1 1
direct
0.5000 0.0000 0.0000 N
0.0000 0.5000 0.0000 N
0.0000 0.0000 0.0000 Zr
0.5000 0.5000 0.5000 Ti
0.0000 0.0000 0.5000 Se
```

Calculated values
D(E_F)   5.8 states/eV/cell

B:
ZrTiSeN2: relaxed, PBE.

The structure in POSCAR format:
```
ZrTiSeN2
1.0
-2.8616 -2.6222 0.6067
0.7295 0.0967 3.8589
-3.2592 3.6779 0.5240
Se N Ti Zr
1 2 1 1
direct
0.0000 0.0000 0.5000 Se
0.0000 0.5000 0.0000 N
0.5000 0.0000 0.0000 N
0.0000 0.0000 0.0000 Ti
0.5000 0.5000 0.5000 Zr
```

Calculated values
D(E_F)   2.6 states/eV/cell

Relative energies with respect to the most stable structure, expressed in meV/atom: A 459; B 0.

A:
TlSe2N: relaxed, PBE.

The structure in POSCAR format:
```
TlSe2N
1.0
-6.4542 -0.9825 1.6422
-1.1424 -2.6567 -6.0792
-2.8425 -5.6215 -0.7366
N Se Tl
2 4 2
direct
0.5000 0.5000 0.0000 N
0.2500 0.7500 0.5000 N
0.4842 0.1250 0.2500 Se
0.3750 0.5158 0.7500 Se
0.8750 0.7342 0.7500 Se
0.2658 0.6250 0.2500 Se
0.7500 0.2500 0.5000 Tl
0.0000 0.0000 0.0000 Tl
```

Calculated values
D(E_F)   1.1 states/eV/cell

B:
TlSe2N: relaxed, PBE.

The structure in POSCAR format:
```
TlSe2N
1.0
2.8937 0.0000 6.2846
-1.4469 2.5060 6.2846
-1.4469 -2.5060 6.2846
Tl Se N
1 2 1
direct
0.5000 0.5000 0.5000 Tl
0.9084 0.9084 0.9084 Se
0.0916 0.0916 0.0916 Se
0.0000 0.0000 0.0000 N
```

Calculated values
D(E_F)   3.6 states/eV/cell

C:
TlSe2N: relaxed, PBE.

The structure in POSCAR format:
```
TlSe2N
1.0
-2.2302 -4.3415 0.0370
-4.7339 -0.3217 -1.1445
-1.3593 -2.0812 -4.2005
Tl Se N
1 2 1
direct
0.5000 0.5000 0.5000 Tl
0.7500 0.7500 0.7500 Se
0.2500 0.2500 0.2500 Se
0.0000 0.0000 0.0000 N
```

Calculated values
D(E_F)   3.1 states/eV/cell

D:
TlSe2N: relaxed, PBE.

The structure in POSCAR format:
```
TlSe2N
1.0
1.8849 0.0000 9.1959
-0.9424 1.6324 9.1959
-0.9424 -1.6324 9.1959
Se N Tl
2 1 1
direct
0.1158 0.1158 0.1158 Se
0.8842 0.8842 0.8842 Se
0.5000 0.5000 0.5000 N
0.0000 0.0000 0.0000 Tl
```

Calculated values
D(E_F)   1.9 states/eV/cell

Relative energies with respect to the most stable structure, expressed in meV/atom: A 8; B 0; C 831; D 380.

A:
TlSe2N2: relaxed, PBE.

The structure in POSCAR format:
```
TlSe2N2
1.0
4.4656 0.0000 0.0000
0.0000 4.4656 0.0000
0.0000 0.0000 4.3200
N Tl Se
2 1 2
direct
0.0000 0.0000 0.0000 N
0.0000 0.0000 0.5000 N
0.5000 0.5000 0.5000 Tl
0.0000 0.5000 0.0000 Se
0.5000 0.0000 0.0000 Se
```

Calculated values
D(E_F)   2.1 states/eV/cell

B:
TlSe2N2: relaxed, PBE.

The structure in POSCAR format:
```
TlSe2N2
1.0
3.8708 0.0000 0.0000
0.0000 3.8708 0.0000
0.0000 0.0000 7.1940
Tl N Se
1 2 2
direct
0.5000 0.5000 0.5000 Tl
0.0000 0.5000 0.0000 N
0.5000 0.0000 0.0000 N
0.0000 0.0000 0.0000 Se
0.0000 0.0000 0.5000 Se
```

Calculated values
D(E_F)   2.6 states/eV/cell

C:
TlSe2N2: relaxed, PBE.

The structure in POSCAR format:
```
TlSe2N2
1.0
-3.1537 -4.5701 1.0242
4.6813 -3.0382 0.8575
-0.1148 1.0671 4.4077
N Se Tl
2 2 1
direct
0.0000 0.0000 0.5000 N
0.5000 0.5000 0.5000 N
0.5000 0.0000 0.0000 Se
0.0000 0.5000 0.0000 Se
0.0000 0.0000 0.0000 Tl
```

Calculated values
D(E_F)   2.8 states/eV/cell

D:
TlSe2N2: relaxed, PBE.

The structure in POSCAR format:
```
TlSe2N2
1.0
4.3053 0.0000 0.0000
0.0000 4.3053 0.0000
0.0000 0.0000 6.0525
N Se Tl
2 2 1
direct
0.5000 0.0000 0.0000 N
0.0000 0.5000 0.0000 N
0.5000 0.5000 0.5000 Se
0.0000 0.0000 0.5000 Se
0.0000 0.0000 0.0000 Tl
```

Calculated values
D(E_F)   3.1 states/eV/cell

Relative energies with respect to the most stable structure, expressed in meV/atom: A 173; B 0; C 913; D 482.

A:
TlSe3N: relaxed, PBE.

The structure in POSCAR format:
```
TlSe3N
1.0
-2.1609 -3.5907 -1.9305
3.5416 -2.7356 1.1240
-2.0193 -0.9553 4.0373
Se N Tl
3 1 1
direct
0.0000 0.0000 0.5000 Se
0.5000 0.0000 0.0000 Se
0.0000 0.5000 0.0000 Se
0.0000 0.0000 0.0000 N
0.5000 0.5000 0.5000 Tl
```

Calculated values
D(E_F)   3.8 states/eV/cell

B:
TlSe3N: relaxed, PBE.

The structure in POSCAR format:
```
TlSe3N
1.0
5.5960 0.0000 0.0000
0.0000 5.5960 0.0000
0.0000 0.0000 5.5960
Se N Tl
3 1 1
direct
0.0000 0.5000 0.0000 Se
0.0000 0.0000 0.5000 Se
0.5000 0.0000 0.0000 Se
0.5000 0.5000 0.5000 N
0.0000 0.0000 0.0000 Tl
```

Calculated values
D(E_F)   2.4 states/eV/cell

Relative energies with respect to the most stable structure, expressed in meV/atom: A 0; B 896.

A:
YTlSe2N: relaxed, PBE.

The structure in POSCAR format:
```
YTlSe2N
1.0
-0.5889 -4.2284 -3.3701
4.2416 1.7412 -2.9258
2.5826 -2.2680 2.3943
Se Y N Tl
2 1 1 1
direct
0.0000 0.5000 0.0000 Se
0.5000 0.0000 0.0000 Se
0.5000 0.5000 0.5000 Y
0.0000 0.0000 0.5000 N
0.0000 0.0000 0.0000 Tl
```

Calculated values
D(E_F)   3.0 states/eV/cell

B:
YTlSe2N: relaxed, PBE.

The structure in POSCAR format:
```
YTlSe2N
1.0
5.6103 0.0000 0.0000
0.0000 5.6103 0.0000
0.0000 0.0000 4.6097
Tl Se Y N
1 2 1 1
direct
0.5000 0.5000 0.5000 Tl
0.5000 0.0000 0.0000 Se
0.0000 0.5000 0.0000 Se
0.0000 0.0000 0.0000 Y
0.0000 0.0000 0.5000 N
```

Calculated values
D(E_F)   4.7 states/eV/cell

Relative energies with respect to the most stable structure, expressed in meV/atom: A 486; B 0.

A:
TlZnSeN2: relaxed, PBE.

The structure in POSCAR format:
```
TlZnSeN2
1.0
-3.9917 -0.8755 -0.4205
0.6958 -1.3369 -3.8218
0.9255 -5.1692 1.9767
N Zn Se Tl
2 1 1 1
direct
0.0000 0.5000 0.0000 N
0.5000 0.0000 0.0000 N
0.0000 0.0000 0.0000 Zn
0.0000 0.0000 0.5000 Se
0.5000 0.5000 0.5000 Tl
```

Calculated values
D(E_F)   2.2 states/eV/cell

B:
TlZnSeN2: relaxed, PBE.

The structure in POSCAR format:
```
TlZnSeN2
1.0
-0.5558 2.6242 -3.3466
-4.2491 -0.4834 0.3266
-0.2502 4.7379 3.7568
Tl N Se Zn
1 2 1 1
direct
0.0000 0.0000 0.0000 Tl
0.5000 0.0000 0.0000 N
0.0000 0.5000 0.0000 N
0.0000 0.0000 0.5000 Se
0.5000 0.5000 0.5000 Zn
```

Calculated values
D(E_F)   2.2 states/eV/cell

Relative energies with respect to the most stable structure, expressed in meV/atom: A 0; B 441.

A:
ZrTlSe2N: relaxed, PBE.

The structure in POSCAR format:
```
ZrTlSe2N
1.0
5.4110 0.0000 0.0000
0.0000 5.4110 0.0000
0.0000 0.0000 4.2401
Se Tl N Zr
2 1 1 1
direct
0.0000 0.5000 0.0000 Se
0.5000 0.0000 0.0000 Se
0.5000 0.5000 0.5000 Tl
0.0000 0.0000 0.5000 N
0.0000 0.0000 0.0000 Zr
```

Calculated values
D(E_F)   3.3 states/eV/cell

B:
ZrTlSe2N: relaxed, PBE.

The structure in POSCAR format:
```
ZrTlSe2N
1.0
-1.2684 4.2098 -3.0548
-5.1372 -1.5062 0.0575
-0.6146 2.2226 3.3181
N Se Tl Zr
1 2 1 1
direct
0.0000 0.0000 0.5000 N
0.0000 0.5000 0.0000 Se
0.5000 0.0000 0.0000 Se
0.0000 0.0000 0.0000 Tl
0.5000 0.5000 0.5000 Zr
```

Calculated values
D(E_F)   8.3 states/eV/cell

Relative energies with respect to the most stable structure, expressed in meV/atom: A 0; B 1279.

A:
ZrTlSeN2: relaxed, PBE.

The structure in POSCAR format:
```
ZrTlSeN2
1.0
4.1948 0.0000 0.0000
0.0000 4.1948 0.0000
0.0000 0.0000 5.4830
N Se Tl Zr
2 1 1 1
direct
0.5000 0.0000 0.0000 N
0.0000 0.5000 0.0000 N
0.0000 0.0000 0.5000 Se
0.0000 0.0000 0.0000 Tl
0.5000 0.5000 0.5000 Zr
```

Calculated values
D(E_F)   2.4 states/eV/cell

B:
ZrTlSeN2: relaxed, PBE.

The structure in POSCAR format:
```
ZrTlSeN2
1.0
4.2090 0.0000 0.0000
0.0000 4.2090 0.0000
0.0000 0.0000 5.7195
Zr N Tl Se
1 2 1 1
direct
0.0000 0.0000 0.0000 Zr
0.5000 0.0000 0.0000 N
0.0000 0.5000 0.0000 N
0.5000 0.5000 0.5000 Tl
0.0000 0.0000 0.5000 Se
```

Calculated values
D(E_F)   4.2 states/eV/cell

Relative energies with respect to the most stable structure, expressed in meV/atom: A 1217; B 0.

A:
U2Se2N: relaxed, PBE.

The structure in POSCAR format:
```
U2Se2N
1.0
-3.3495 1.4683 -0.6774
-2.5252 -1.9375 -1.9245
-5.2747 -3.9514 7.3050
N U Se
1 2 2
direct
0.0000 0.0000 0.0000 N
0.3761 0.3761 0.8716 U
0.6239 0.6239 0.1284 U
0.2285 0.2285 0.3145 Se
0.7715 0.7715 0.6855 Se
```

Calculated values
D(E_F)   6.1 states/eV/cell

B:
U2Se2N: relaxed, PBE.

The structure in POSCAR format:
```
U2Se2N
1.0
5.2155 0.0000 2.2258
1.5738 5.9825 3.5355
0.0510 0.5470 7.1039
Se N U
4 2 4
direct
0.8534 0.9964 0.2967 Se
0.3534 0.2967 0.9964 Se
0.6466 0.7033 0.0036 Se
0.1466 0.0036 0.7033 Se
0.2500 0.5000 0.5000 N
0.7500 0.5000 0.5000 N
0.5989 0.1960 0.6062 U
0.0989 0.6062 0.1960 U
0.4011 0.8040 0.3938 U
0.9011 0.3938 0.8040 U
```

Calculated values
D(E_F)   18.6 states/eV/cell

Relative energies with respect to the most stable structure, expressed in meV/atom: A 189; B 0.

A:
V2SeN: relaxed, PBE.

The structure in POSCAR format:
```
V2SeN
1.0
5.1767 0.0000 0.0000
0.0000 5.1767 0.0000
2.5883 2.5883 4.7338
V Se N
4 2 2
direct
0.5381 0.1250 0.2500 V
0.2119 0.6250 0.2500 V
0.8750 0.7881 0.7500 V
0.3750 0.4619 0.7500 V
0.7500 0.2500 0.5000 Se
0.0000 0.0000 0.0000 Se
0.5000 0.5000 0.0000 N
0.2500 0.7500 0.5000 N
```

Calculated values
D(E_F)   6.8 states/eV/cell

B:
V2SeN: relaxed, PBE.

The structure in POSCAR format:
```
V2SeN
1.0
-3.3128 -1.7306 -1.5963
-3.4405 -0.1755 2.1564
-3.1817 2.2959 -1.0597
N V Se
1 2 1
direct
0.0000 0.0000 0.0000 N
0.7500 0.7500 0.7500 V
0.2500 0.2500 0.2500 V
0.5000 0.5000 0.5000 Se
```

Calculated values
D(E_F)   4.9 states/eV/cell

Relative energies with respect to the most stable structure, expressed in meV/atom: A 0; B 664.